[1]
A relaxed CaTiSb2O8 crystal. Source: Alexandria via LeMat-Bulk, functional GGA-PBE.

Properties
**Formation energy from raw total energies**: -2.08 eV/atom

a b c (Å): 4.851 4.851 6.357
angles (deg): 90.00 90.00 93.37
Atoms (fractional coordinates):
Ca1 0.000 0.000 0.000
Ti1 0.000 0.000 0.500
Sb1 0.500 0.500 0.254
Sb2 0.500 0.500 0.746
O1 0.203 0.203 0.283
O2 0.203 0.203 0.717
O3 0.306 0.694 0.500
O4 0.323 0.677 0.000
O5 0.677 0.323 0.000
O6 0.694 0.306 0.500
O7 0.797 0.797 0.283
O8 0.797 0.797 0.717



[2]
A relaxed CaTi2SbO8 crystal. Source: Alexandria via LeMat-Bulk, functional GGA-PBE.

Properties
**Formation energy from raw total energies**: -2.35 eV/atom
**DOS at the Fermi energy**: 4.44 states/eV/cell

a b c (Å): 4.842 4.842 6.672
angles (deg): 94.39 94.39 83.19
Atoms (fractional coordinates):
Ca1 0.000 0.000 0.000
Ti1 0.457 0.457 0.777
Ti2 0.543 0.543 0.223
Sb1 0.000 0.000 0.500
O1 0.213 0.786 0.719
O2 0.214 0.787 0.281
O3 0.277 0.277 0.540
O4 0.327 0.327 0.994
O5 0.673 0.673 0.006
O6 0.723 0.723 0.460
O7 0.786 0.213 0.719
O8 0.787 0.214 0.281



[3]
A relaxed CaTiSbO6 crystal. Source: Alexandria via LeMat-Bulk, functional GGA-PBE.

Properties
**Formation energy from raw total energies**: -2.18 eV/atom
**DOS at the Fermi energy**: 9.14 states/eV/cell

a b c (Å): 5.302 5.302 9.924
angles (deg): 90.00 90.00 120.00
Atoms (fractional coordinates):
Ca1 0.000 0.000 0.000
Ca2 0.000 0.000 0.500
Ti1 0.333 0.667 0.250
Ti2 0.667 0.333 0.750
Sb1 0.333 0.667 0.750
Sb2 0.667 0.333 0.250
O1 0.004 0.370 0.142
O2 0.004 0.634 0.358
O3 0.366 0.370 0.358
O4 0.366 0.996 0.142
O5 0.370 0.004 0.642
O6 0.370 0.366 0.858
O7 0.630 0.634 0.142
O8 0.630 0.996 0.358
O9 0.634 0.004 0.858
O10 0.634 0.630 0.642
O11 0.996 0.366 0.642
O12 0.996 0.630 0.858



[4]
A relaxed CaTl2Sb2O6 crystal. Source: Alexandria via LeMat-Bulk, functional GGA-PBE.

Properties
**Formation energy from raw total energies**: -1.35 eV/atom
**DOS at the Fermi energy**: 0.00 states/eV/cell

a b c (Å): 6.213 6.213 7.522
angles (deg): 117.60 117.60 61.90
Atoms (fractional coordinates):
Ca1 0.000 0.000 0.000
Tl1 0.202 0.202 0.672
Tl2 0.798 0.798 0.328
Sb1 0.460 0.460 0.280
Sb2 0.540 0.540 0.720
O1 0.204 0.673 0.743
O2 0.251 0.251 0.083
O3 0.327 0.796 0.257
O4 0.673 0.204 0.743
O5 0.749 0.749 0.917
O6 0.796 0.327 0.257



[5]
A relaxed Ca2TlSbO crystal. Source: Alexandria via LeMat-Bulk, functional GGA-PBE.

Properties
**Formation energy from raw total energies**: -1.28 eV/atom
**DOS at the Fermi energy**: 0.35 states/eV/cell

a b c (Å): 4.848 4.848 5.143
angles (deg): 90.00 90.00 90.00
Atoms (fractional coordinates):
Ca1 0.000 0.500 0.000
Ca2 0.500 0.000 0.000
Tl1 0.000 0.000 0.500
Sb1 0.500 0.500 0.500
O1 0.000 0.000 0.000



[6]
A relaxed CaTl2SbO6 crystal. Source: Alexandria via LeMat-Bulk, functional GGA-PBE.

Properties
**Formation energy from raw total energies**: -1.42 eV/atom
**DOS at the Fermi energy**: 2.81 states/eV/cell

a b c (Å): 6.134 6.134 6.134
angles (deg): 55.82 55.82 55.82
Atoms (fractional coordinates):
Ca1 0.000 0.000 0.000
Tl1 0.214 0.214 0.214
Tl2 0.733 0.733 0.733
Sb1 0.512 0.512 0.512
O1 0.179 0.381 0.768
O2 0.308 0.868 0.606
O3 0.381 0.768 0.179
O4 0.606 0.308 0.868
O5 0.768 0.179 0.381
O6 0.868 0.606 0.308